CaB3S | PBE-GGA | relaxed

a b c (Å): 3.9968 3.9968 3.9968
angles (deg): 90.00 90.00 90.00
Fractional coordinates of all 5 atoms:
Ca1 0.0000 0.0000 0.0000
B1 0.0000 0.5000 0.5000
B2 0.5000 0.0000 0.5000
B3 0.5000 0.5000 0.0000
S1 0.5000 0.5000 0.5000

Summary:
crystal system = cubic
M_tot = 0.000 μB per atom
uncorrected formation energy = 1.3054 eV/atom
raw total energy = -3.93 eV per atom